1.
DFT (PBE-GGA) results for Mn5Nb2CrB2 after structural relaxation.

Cell: 8.704 8.704 2.960 Å, 90.00 90.00 90.00°
Space group P4/mbm (No. 127)
Asymmetric unit:
1 Mn 0.000 0.500 0.000
2 Mn 0.067 0.212 0.000
3 Nb 0.175 0.675 0.500
4 Cr 0.000 0.000 0.500
5 B 0.122 0.378 0.500

Properties
- E_form: -0.32 eV per atom

***

2.
DFT (PBE-GGA) results for MnCrNiB2 after structural relaxation.

Cell: 3.861 3.861 4.161 Å, 90.00 90.00 90.00°
Space group P4/mmm (No. 123)
Asymmetric unit:
1 Mn 0.000 0.000 0.000
2 Cr 0.000 0.000 0.500
3 Ni 0.500 0.500 0.000
4 B 0.000 0.500 0.500

Properties
- E_form: 1.26 eV per atom

***

3.
DFT (PBE-GGA) results for MnCrB2Os after structural relaxation.

Cell: 3.838 3.838 4.055 Å, 90.00 90.00 90.00°
Space group P4/mmm (No. 123)
Asymmetric unit:
1 Mn 0.000 0.000 0.000
2 Cr 0.000 0.000 0.500
3 B 0.000 0.500 0.500
4 Os 0.500 0.500 0.000

Properties
- E_form: 1.48 eV per atom

***

4.
DFT (PBE-GGA) results for Mn5CrRe2B2 after structural relaxation.

Cell: 8.641 8.641 2.809 Å, 90.00 90.00 90.00°
Space group P4/mbm (No. 127)
Asymmetric unit:
1 Mn 0.000 0.500 0.000
2 Mn 0.066 0.212 0.000
3 Cr 0.000 0.000 0.500
4 Re 0.178 0.678 0.500
5 B 0.123 0.377 0.500

Properties
- E_form: -0.22 eV per atom

***

5.
DFT (PBE-GGA) results for MnCrBS2 after structural relaxation.

Cell: 4.205 4.205 4.496 Å, 90.00 90.00 90.00°
Space group P4/mmm (No. 123)
Asymmetric unit:
1 Mn 0.000 0.000 0.000
2 Cr 0.000 0.000 0.500
3 B 0.500 0.500 0.500
4 S 0.000 0.500 0.000

Properties
- Formation energy from raw total energies: 1436.0 meV per atom

***

6.
DFT (PBE-GGA) results for MnCr2BSb after structural relaxation.

Cell: 4.334 4.334 3.823 Å, 90.00 90.00 90.00°
Space group P4/mmm (No. 123)
Asymmetric unit:
1 Mn 0.000 0.000 0.000
2 Cr 0.000 0.500 0.000
3 B 0.000 0.000 0.500
4 Sb 0.500 0.500 0.500

Properties
- Formation energy from raw total energies: 975.9 meV per atom